The following is a DFT calculation (PBE-GGA) of Tm3Ga12Ge5 after structural relaxation.

a = 13.6371 Å, b = 13.6371 Å, c = 13.6371 Å
α = 109.47°, β = 109.47°, γ = 109.47°
With the nearest neighbours (Å) after each atom.
Fractional coordinates of all 80 atoms:
Ga (0.1038, 0.7197, 0.5372)  2 Ge 2.47-2.63
Tm (0.1250, 0.8750, 0.7500)  4 Ga 2.81
Ge (0.1250, 0.3750, 0.2500)  4 Ga 2.47
Ga (0.6824, 0.2197, 0.6159)  2 Ge 2.47-2.63
Ge (0.3750, 0.2500, 0.1250)  4 Ga 2.47
Ga (0.6159, 0.8962, 0.4334)  2 Ge 2.47-2.63
Ga (0.5666, 0.6038, 0.3841)  2 Ge 2.47-2.63
Ge (0.0000, 0.0000, 0.5000)  6 Ga 2.63
Ga (0.1159, 0.1824, 0.2197)  2 Ge 2.47-2.63
Ga (0.4628, 0.7803, 0.8962)  2 Ge 2.47-2.63
Ge (0.7500, 0.1250, 0.8750)  4 Ga 2.47
Tm (0.7500, 0.8750, 0.6250)  4 Ga 2.81
Ge (0.0000, 0.0000, 0.0000)  6 Ga 2.63
Ga (0.3962, 0.4334, 0.1159)  2 Ge 2.47-2.63
Ga (0.2803, 0.3841, 0.8176)  2 Ge 2.47-2.63
Ga (0.8841, 0.0666, 0.6038)  2 Ge 2.47-2.63
Ga (0.0666, 0.1824, 0.4628)  2 Ge 2.47-2.63
Ge (0.0000, 0.5000, 0.0000)  6 Ga 2.63
Ga (0.1159, 0.9334, 0.3962)  2 Ge 2.47-2.63
Ga (0.0372, 0.6038, 0.7197)  2 Ge 2.47-2.63
Ge (0.3750, 0.1250, 0.7500)  4 Ga 2.47
Ga (0.4334, 0.3962, 0.6159)  2 Ge 2.47-2.63
Ga (0.9628, 0.3962, 0.2803)  2 Ge 2.47-2.63
Ga (0.5666, 0.9628, 0.6824)  2 Ge 2.47-2.63
Ge (0.8750, 0.6250, 0.7500)  4 Ga 2.47
Ga (0.7197, 0.6159, 0.1824)  2 Ge 2.47-2.63
Ga (0.6038, 0.5666, 0.8841)  2 Ge 2.47-2.63
Ge (0.5000, 0.5000, 0.0000)  6 Ga 2.63
Ge (0.5000, 0.5000, 0.5000)  6 Ga 2.63
Ga (0.6038, 0.0372, 0.2197)  2 Ge 2.47-2.63
Ge (0.0000, 0.5000, 0.5000)  6 Ga 2.63
Ga (0.9334, 0.1159, 0.8962)  2 Ge 2.47-2.63
Ga (0.6159, 0.7197, 0.6824)  2 Ge 2.47-2.63
Tm (0.6250, 0.2500, 0.3750)  4 Ga 2.81
Tm (0.7500, 0.3750, 0.1250)  4 Ga 2.81
Ga (0.8841, 0.8176, 0.7803)  2 Ge 2.47-2.63
Tm (0.8750, 0.1250, 0.2500)  4 Ga 2.81
Ga (0.7197, 0.1038, 0.0372)  2 Ge 2.47-2.63
Ge (0.5000, 0.0000, 0.0000)  6 Ga 2.63
Ga (0.7803, 0.3176, 0.8841)  2 Ge 2.47-2.63
Ga (0.8962, 0.6159, 0.9334)  2 Ge 2.47-2.63
Ga (0.5372, 0.3176, 0.9334)  2 Ge 2.47-2.63
Ga (0.6824, 0.4628, 0.5666)  2 Ge 2.47-2.63
Ge (0.7500, 0.6250, 0.3750)  4 Ga 2.47
Tm (0.3750, 0.7500, 0.6250)  4 Ga 2.81
Tm (0.2500, 0.1250, 0.3750)  4 Ga 2.81
Ga (0.3176, 0.7803, 0.3841)  2 Ge 2.47-2.63
Ga (0.2803, 0.8962, 0.9628)  2 Ge 2.47-2.63
Ga (0.0372, 0.4334, 0.8176)  2 Ge 2.47-2.63
Ga (0.0666, 0.8841, 0.1038)  2 Ge 2.47-2.63
Tm (0.8750, 0.7500, 0.1250)  4 Ga 2.81
Ga (0.8176, 0.9334, 0.0372)  2 Ge 2.47-2.63
Ga (0.8176, 0.8841, 0.2803)  2 Ge 2.47-2.63
Ga (0.3962, 0.9628, 0.7803)  2 Ge 2.47-2.63
Ga (0.2197, 0.5372, 0.6038)  2 Ge 2.47-2.63
Ga (0.8962, 0.2803, 0.4628)  2 Ge 2.47-2.63
Ga (0.4628, 0.6824, 0.0666)  2 Ge 2.47-2.63
Ge (0.6250, 0.8750, 0.2500)  4 Ga 2.47
Ge (0.8750, 0.2500, 0.6250)  4 Ga 2.47
Ga (0.5372, 0.2197, 0.1038)  2 Ge 2.47-2.63
Ga (0.7803, 0.4628, 0.3962)  2 Ge 2.47-2.63
Ga (0.9334, 0.8176, 0.5372)  2 Ge 2.47-2.63
Ga (0.2197, 0.6824, 0.1159)  2 Ge 2.47-2.63
Tm (0.3750, 0.6250, 0.2500)  4 Ga 2.81
Ga (0.3176, 0.5372, 0.4334)  2 Ge 2.47-2.63
Ga (0.4334, 0.0372, 0.3176)  2 Ge 2.47-2.63
Ge (0.2500, 0.8750, 0.1250)  4 Ga 2.47
Ga (0.1824, 0.1159, 0.7197)  2 Ge 2.47-2.63
Ga (0.1038, 0.3841, 0.0666)  2 Ge 2.47-2.63
Tm (0.6250, 0.3750, 0.7500)  4 Ga 2.81
Tm (0.2500, 0.6250, 0.8750)  4 Ga 2.81
Ga (0.9628, 0.5666, 0.1824)  2 Ge 2.47-2.63
Ge (0.5000, 0.0000, 0.5000)  6 Ga 2.63
Tm (0.1250, 0.2500, 0.8750)  4 Ga 2.81
Ga (0.3841, 0.1038, 0.5666)  2 Ge 2.47-2.63
Ge (0.2500, 0.3750, 0.6250)  4 Ga 2.47
Ge (0.1250, 0.7500, 0.3750)  4 Ga 2.47
Ga (0.3841, 0.2803, 0.3176)  2 Ge 2.47-2.63
Ge (0.6250, 0.7500, 0.8750)  4 Ga 2.47
Ga (0.1824, 0.0666, 0.9628)  2 Ge 2.47-2.63

Summary:
The total magnetic moment is 0.000 μB/atom. The formation energy comes out at 0.0861 eV per atom. The space group is Ia-3d, No. 230.



The following is a DFT calculation (PBE-GGA) of ReTcRu after structural relaxation.

a = 6.0856 Å, b = 6.0857 Å, c = 2.7474 Å
α = 76.95°, β = 76.95°, γ = 26.09°
With the nearest neighbours (Å) after each atom.
Fractional coordinates of all 3 atoms:
Re (0.9993, 0.9993, 0.0007)  4 Ru 2.73, 4 Tc 2.74, 4 Re 2.75
Ru (0.3335, 0.3335, 0.6665)  4 Re 2.73, 4 Tc 2.73, 4 Ru 2.75
Tc (0.6672, 0.6672, 0.3328)  4 Ru 2.73, 4 Re 2.74, 4 Tc 2.75

Summary:
The total magnetic moment is 0.000 μB/atom. The formation energy comes out at 0.0589 eV per atom. Its polymorph energy (0 for the lowest one) is 0.009 eV per atom. The space group is I4mm, No. 107.



The following is a DFT calculation (PBE-GGA) of K3Ce3HfS8 after structural relaxation.

a = 8.1718 Å, b = 8.1717 Å, c = 8.8510 Å
α = 117.50°, β = 90.00°, γ = 120.00°
With the nearest neighbours (Å) after each atom.
Fractional coordinates of all 15 atoms:
S (0.2169, 0.4337, 0.6919)  1 Hf 2.60, 2 Ce 2.85
S (0.7362, 0.4723, 0.7084)  3 Ce 2.83
Ce (0.5000, 0.0000, 0.5000)  6 S 2.83-2.85
Hf (0.0000, 0.0000, 0.5000)  6 S 2.60
S (0.2638, 0.5277, 0.2916)  3 Ce 2.83
S (0.7831, 0.0249, 0.3081)  1 Hf 2.60, 2 Ce 2.85
Ce (0.5000, 0.5000, 0.5000)  6 S 2.83-2.85
S (0.7831, 0.5663, 0.3081)  1 Hf 2.60, 2 Ce 2.85
Ce (0.0000, 0.5000, 0.5000)  6 S 2.83-2.85
S (0.7583, 0.9751, 0.6919)  1 Hf 2.60, 2 Ce 2.85
S (0.2417, 0.0249, 0.3081)  1 Hf 2.60, 2 Ce 2.85
K (0.5000, 0.5000, 0.0000)  6 S 3.21-3.23
K (0.0000, 0.5000, 0.0000)  6 S 3.21-3.24
S (0.2169, 0.9751, 0.6919)  1 Hf 2.60, 2 Ce 2.85
K (0.0000, 0.0000, 0.0000)  6 S 3.21-3.23

Summary:
The total magnetic moment is 0.201 μB/atom. The space group is R-3m, No. 166. As for the formation energy without anion corrections: -1.75 eV/atom.



The following is a DFT calculation (PBE-GGA) of HfMg2Pd8 after structural relaxation.

a = 4.0798 Å, b = 6.3187 Å, c = 7.4240 Å
α = 106.21°, β = 105.95°, γ = 90.00°
With the nearest neighbours (Å) after each atom.
Fractional coordinates of all 11 atoms:
Pd (0.4059, 0.5439, 0.8118)  3 Mg 2.78-2.90, 1 Hf 2.80, 8 Pd 2.81-2.90
Pd (0.8611, 0.8149, 0.7221)  7 Pd 2.79-2.85, 3 Mg 2.82-2.85, 2 Hf 2.85
Pd (0.9586, 0.2733, 0.9172)  1 Mg 2.75, 9 Pd 2.76-2.90, 2 Hf 2.84
Mg (0.2219, 0.6525, 0.4438)  10 Pd 2.68-2.90
Hf (0.5000, 0.0000, 0.0000)  12 Pd 2.77-2.85
Pd (0.6797, 0.9160, 0.3594)  3 Mg 2.68-2.81, 1 Hf 2.77, 8 Pd 2.81-2.85
Pd (0.0414, 0.7267, 0.0828)  1 Mg 2.75, 9 Pd 2.76-2.90, 2 Hf 2.84
Mg (0.7781, 0.3475, 0.5562)  10 Pd 2.68-2.90
Pd (0.3203, 0.0840, 0.6406)  3 Mg 2.68-2.81, 1 Hf 2.77, 8 Pd 2.81-2.85
Pd (0.1389, 0.1851, 0.2779)  7 Pd 2.79-2.85, 3 Mg 2.82-2.85, 2 Hf 2.85
Pd (0.5941, 0.4561, 0.1882)  3 Mg 2.78-2.90, 1 Hf 2.80, 8 Pd 2.81-2.90

Summary:
The total magnetic moment is 0.000 μB/atom. The formation energy comes out at -0.6167 eV per atom. The space group is C2/m, No. 12.



The following is a DFT calculation (PBE-GGA) of CoBiAs2 after structural relaxation.

a = 5.9011 Å, b = 5.9011 Å, c = 7.0634 Å
α = 65.31°, β = 65.31°, γ = 90.00°
With the nearest neighbours (Å) after each atom.
Fractional coordinates of all 8 atoms:
As (0.8750, 0.7857, 0.7500)  2 Co 2.26
Bi (0.0000, 0.0000, 0.0000)  4 As 2.87
As (0.3750, 0.4643, 0.7500)  2 Co 2.26
Co (0.5000, 0.5000, 0.0000)  4 As 2.26
As (0.2143, 0.6250, 0.2500)  2 Co 2.26
Bi (0.7500, 0.2500, 0.5000)  4 As 2.87
As (0.5357, 0.1250, 0.2500)  2 Co 2.26
Co (0.2500, 0.7500, 0.5000)  4 As 2.26

Summary:
The total magnetic moment is 0.000 μB/atom. The formation energy comes out at 0.0879 eV per atom. The space group is I-42d, No. 122.



The following is a DFT calculation (PBE-GGA) of Ac2La4PrNd after structural relaxation.

a = 3.8078 Å, b = 12.5169 Å, c = 6.5933 Å
α = 79.81°, β = 90.00°, γ = 90.00°
With the nearest neighbours (Å) after each atom.
Fractional coordinates of all 8 atoms:
Ac (0.0000, 0.0000, 0.0000)  6 Ac 3.81, 6 La 3.84-3.85
La (0.0000, 0.7439, 0.7528)  2 Pr 3.72, 1 Nd 3.73, 6 La 3.80-3.81, 3 Ac 3.84-3.85
La (0.5000, 0.2565, 0.7462)  2 Nd 3.72, 1 Pr 3.73, 6 La 3.80-3.81, 3 Ac 3.84-3.85
La (0.0000, 0.2562, 0.2472)  2 Pr 3.72, 1 Nd 3.73, 6 La 3.80-3.81, 3 Ac 3.84-3.85
Nd (0.0000, 0.5000, 0.5000)  6 La 3.72-3.73, 4 Pr 3.81, 2 Nd 3.81
La (0.5000, 0.7435, 0.2538)  2 Nd 3.72, 1 Pr 3.73, 6 La 3.80-3.81, 3 Ac 3.84-3.85
Ac (0.5000, 0.0000, 0.5000)  6 Ac 3.81, 6 La 3.84-3.85
Pr (0.5000, 0.5000, 0.0000)  6 La 3.72-3.73, 4 Nd 3.81, 2 Pr 3.81

Summary:
The total magnetic moment is 0.000 μB/atom. The formation energy comes out at 0.0282 eV per atom. The space group is P2/m, No. 10.



The following is a DFT calculation (PBE-GGA) of Tl6OsF12 after structural relaxation.

a = 7.6862 Å, b = 7.6862 Å, c = 7.6862 Å
α = 99.02°, β = 99.02°, γ = 99.02°
With the nearest neighbours (Å) after each atom.
Fractional coordinates of all 19 atoms:
F (0.7522, 0.0158, 0.9339)  1 Os 1.92
Tl (0.8437, 0.6670, 0.3928)  4 F 2.50-2.80
Tl (0.6670, 0.3928, 0.8437)  4 F 2.50-2.80
F (0.0661, 0.2478, 0.9842)  1 Os 1.92
F (0.2478, 0.9842, 0.0661)  1 Os 1.92
F (0.9339, 0.7522, 0.0158)  1 Os 1.92
F (0.4165, 0.5648, 0.8125)  4 Tl 2.50-2.80
F (0.0158, 0.9339, 0.7522)  1 Os 1.92
Tl (0.3330, 0.6072, 0.1563)  4 F 2.50-2.80
F (0.5835, 0.4352, 0.1875)  4 Tl 2.50-2.80
F (0.8125, 0.4165, 0.5648)  4 Tl 2.50-2.80
F (0.5648, 0.8125, 0.4165)  4 Tl 2.50-2.80
Tl (0.1563, 0.3330, 0.6072)  4 F 2.50-2.80
Tl (0.3928, 0.8437, 0.6670)  4 F 2.50-2.80
F (0.1875, 0.5835, 0.4352)  4 Tl 2.50-2.80
Tl (0.6072, 0.1563, 0.3330)  4 F 2.50-2.80
Os (0.0000, 0.0000, 0.0000)  6 F 1.92
F (0.9842, 0.0661, 0.2478)  1 Os 1.92
F (0.4352, 0.1875, 0.5835)  4 Tl 2.50-2.80

Summary:
The total magnetic moment is 0.111 μB/atom. The space group is R-3, No. 148. As for the formation energy without anion corrections: -1.79 eV/atom.



The following is a DFT calculation (PBE-GGA) of CaInOF2 after structural relaxation.

a = 4.2724 Å, b = 4.2724 Å, c = 4.7511 Å
α = 90.00°, β = 90.00°, γ = 90.00°
With the nearest neighbours (Å) after each atom.
Fractional coordinates of all 5 atoms:
Ca (0.0000, 0.0000, 0.0000)  4 F 2.14, 2 O 2.38
O (0.0000, 0.0000, 0.5000)  2 Ca 2.38
In (0.5000, 0.5000, 0.5000)  4 O 3.02, 8 F 3.19
F (0.0000, 0.5000, 0.0000)  2 Ca 2.14
F (0.5000, 0.0000, 0.0000)  2 Ca 2.14

Summary:
The total magnetic moment is 0.000 μB/atom. Its polymorph energy (0 for the lowest one) is 0.000 eV per atom. The space group is P4/mmm, No. 123. As for the formation energy without anion corrections: -2.20 eV/atom.



The following is a DFT calculation (PBE-GGA) of ZrMn10Be2 after structural relaxation.

a = 6.1255 Å, b = 6.1255 Å, c = 7.8574 Å
α = 90.00°, β = 90.00°, γ = 98.59°
With the nearest neighbours (Å) after each atom.
Fractional coordinates of all 26 atoms:
Mn (0.2081, 0.2081, 0.5000)  8 Mn 2.31-2.59, 2 Be 2.35
Mn (0.6077, 0.3923, 0.5636)  4 Mn 2.24-2.48, 2 Be 2.45
Zr (0.8691, 0.1309, 0.7500)  16 Mn 2.79-3.12, 4 Be 3.01
Mn (0.8761, 0.6232, 0.7500)  2 Be 2.27, 7 Mn 2.31-2.48
Mn (0.6232, 0.8761, 0.2500)  2 Be 2.27, 7 Mn 2.31-2.48
Mn (0.2081, 0.2081, 0.0000)  8 Mn 2.31-2.59, 2 Be 2.35
Mn (0.6077, 0.3923, 0.9364)  4 Mn 2.24-2.48, 2 Be 2.45
Mn (0.1771, 0.8229, 0.8987)  2 Be 2.25, 6 Mn 2.34-2.47
Mn (0.7919, 0.7919, 0.5000)  8 Mn 2.31-2.59, 2 Be 2.35
Mn (0.4739, 0.2502, 0.2500)  2 Mn 2.20-2.39
Be (0.5000, 0.0000, 0.5000)  10 Mn 2.25-2.51
Zr (0.1309, 0.8691, 0.2500)  16 Mn 2.79-3.12, 4 Be 3.01
Mn (0.1239, 0.3768, 0.2500)  2 Be 2.27, 7 Mn 2.31-2.48
Mn (0.8229, 0.1771, 0.3987)  2 Be 2.25, 6 Mn 2.34-2.47
Mn (0.1771, 0.8229, 0.6013)  2 Be 2.25, 6 Mn 2.34-2.47
Mn (0.8229, 0.1771, 0.1013)  2 Be 2.25, 6 Mn 2.34-2.47
Be (0.0000, 0.5000, 0.0000)  10 Mn 2.25-2.51
Mn (0.2502, 0.4739, 0.7500)  2 Mn 2.20-2.39
Mn (0.7919, 0.7919, 0.0000)  8 Mn 2.31-2.59, 2 Be 2.35
Be (0.0000, 0.5000, 0.5000)  10 Mn 2.25-2.51
Mn (0.5261, 0.7498, 0.7500)  2 Mn 2.20-2.39
Mn (0.3768, 0.1239, 0.7500)  2 Be 2.27, 7 Mn 2.31-2.48
Be (0.5000, 0.0000, 0.0000)  10 Mn 2.25-2.51
Mn (0.7498, 0.5261, 0.2500)  2 Mn 2.20-2.39
Mn (0.3923, 0.6077, 0.4364)  4 Mn 2.24-2.48, 2 Be 2.45
Mn (0.3923, 0.6077, 0.0636)  4 Mn 2.24-2.48, 2 Be 2.45

Summary:
The total magnetic moment is 0.051 μB/atom. The formation energy comes out at -0.0837 eV per atom. The space group is Cmcm, No. 63.